This record from Alexandria via LeMat-Bulk describes an optimized crystal structure of InPd. The functional is GGA-PBE.

Results
total energy	-4.218	eV per atom
symmetry	I4/m

a = 6.980 Å, b = 6.980 Å, c = 6.980 Å
α = 97.27°, β = 97.27°, γ = 138.33°
Positions (direct):
In  0.175  0.694  0.869
In  0.306  0.175  0.481
In  0.694  0.825  0.519
In  0.825  0.306  0.131
Pd  0.108  0.396  0.504
Pd  0.396  0.892  0.289
Pd  0.604  0.108  0.711
Pd  0.892  0.604  0.496

This record from Alexandria via LeMat-Bulk describes an optimized crystal structure of EuH3Ru. The functional is GGA-PBE.

Results
total energy	-6.337	eV per atom
symmetry	Pm-3m

a = 3.709 Å, b = 3.709 Å, c = 3.709 Å
α = 90.00°, β = 90.00°, γ = 90.00°
Positions (direct):
Eu  0.000  0.000  0.000
H  0.000  0.500  0.500
H  0.500  0.000  0.500
H  0.500  0.500  0.000
Ru  0.500  0.500  0.500

This record from Alexandria via LeMat-Bulk describes an optimized crystal structure of SiSbPd3. The functional is GGA-PBE.

Results
ΔE_f (raw)	-0.157	eV/atom
energy above the lowest structure with this stoichiometry	0	meV/atom
symmetry	Pm-3m

a = 4.579 Å, b = 4.579 Å, c = 4.579 Å
α = 90.00°, β = 90.00°, γ = 90.00°
Positions (direct):
Si  0.000  0.000  0.000
Sb  0.500  0.500  0.500
Pd  0.000  0.000  0.500
Pd  0.000  0.500  0.000
Pd  0.500  0.000  0.000

This record from Alexandria via LeMat-Bulk describes an optimized crystal structure of PaGaAg. The functional is GGA-PBE.

Results
total energy	-5.194	eV per atom
symmetry	Amm2

a = 3.006 Å, b = 8.206 Å, c = 8.206 Å
α = 142.78°, β = 90.00°, γ = 90.00°
Positions (direct):
Pa  0.000  0.183  0.817
Pa  0.000  0.817  0.183
Ga  0.500  0.356  0.642
Ga  0.500  0.642  0.356
Ag  0.000  0.689  0.689
Ag  0.500  0.177  0.177

This record from Alexandria via LeMat-Bulk describes an optimized crystal structure of Cs2Rb2IrO4. The functional is GGA-PBE.

Results
ΔE_f (raw)	-0.949	eV/atom
symmetry	I4/mmm

a = 6.570 Å, b = 6.570 Å, c = 6.570 Å
α = 118.88°, β = 118.88°, γ = 91.94°
Positions (direct):
Cs  0.250  0.750  0.500
Cs  0.750  0.250  0.500
Rb  0.159  0.159  0.000
Rb  0.841  0.841  0.000
Ir  0.500  0.500  0.000
O  0.293  0.293  0.586
O  0.293  0.707  0.000
O  0.707  0.293  0.000
O  0.707  0.707  0.414

This record from Alexandria via LeMat-Bulk describes an optimized crystal structure of Ac3PtRhF. The functional is GGA-PBE.

Results
ΔE_f (raw)	-1.520	eV/atom
symmetry	P2_1/m

a = 8.753 Å, b = 4.248 Å, c = 9.403 Å
α = 90.00°, β = 102.38°, γ = 90.00°
Positions (direct):
Ac  0.081  0.250  0.338
Ac  0.275  0.250  0.988
Ac  0.400  0.750  0.640
Ac  0.600  0.250  0.360
Ac  0.725  0.750  0.012
Ac  0.919  0.750  0.662
Pt  0.322  0.750  0.277
Pt  0.678  0.250  0.723
Rh  0.166  0.250  0.668
Rh  0.834  0.750  0.332
F  0.422  0.750  0.930
F  0.578  0.250  0.070

This record from Alexandria via LeMat-Bulk describes an optimized crystal structure of HfPaCo5P2. The functional is GGA-PBE.

Results
total energy	-7.995	eV per atom
symmetry	P4/mmm

a = 3.859 Å, b = 3.859 Å, c = 8.124 Å
α = 90.00°, β = 90.00°, γ = 90.00°
Positions (direct):
Hf  0.000  0.000  0.000
Pa  0.000  0.000  0.500
Co  0.000  0.500  0.226
Co  0.000  0.500  0.774
Co  0.500  0.000  0.226
Co  0.500  0.000  0.774
Co  0.500  0.500  0.000
P  0.500  0.500  0.352
P  0.500  0.500  0.648

This record from Alexandria via LeMat-Bulk describes an optimized crystal structure of NdZn2Ge2. The functional is GGA-PBE.

Results
energy above the lowest structure with this stoichiometry	0	meV/atom
symmetry	P4/mmm

a = 4.151 Å, b = 4.151 Å, c = 5.754 Å
α = 90.00°, β = 90.00°, γ = 90.00°
Positions (direct):
Nd  0.000  0.000  0.000
Zn  0.000  0.500  0.500
Zn  0.500  0.000  0.500
Ge  0.500  0.500  0.216
Ge  0.500  0.500  0.784

This record from Alexandria via LeMat-Bulk describes an optimized crystal structure of CsDyS2. The functional is GGA-PBE.

Results
ΔE_f (raw)	-1.836	eV/atom
symmetry	P6_3/mmc

a = 4.104 Å, b = 4.104 Å, c = 16.103 Å
α = 90.00°, β = 90.00°, γ = 120.00°
Positions (direct):
Cs  0.333  0.667  0.250
Cs  0.667  0.333  0.750
Dy  0.000  0.000  0.000
Dy  0.000  0.000  0.500
S  0.333  0.667  0.591
S  0.333  0.667  0.909
S  0.667  0.333  0.091
S  0.667  0.333  0.409

This record from Alexandria via LeMat-Bulk describes an optimized crystal structure of Zr3U5As8. The functional is GGA-PBE.

Results
total energy	-8.364	eV per atom
symmetry	R-3m

a = 8.042 Å, b = 8.042 Å, c = 8.042 Å
α = 59.27°, β = 59.27°, γ = 59.27°
Positions (direct):
Zr  0.000  0.500  0.500
Zr  0.500  0.000  0.500
Zr  0.500  0.500  0.000
U  0.000  0.000  0.000
U  0.000  0.000  0.500
U  0.000  0.500  0.000
U  0.500  0.000  0.000
U  0.500  0.500  0.500
As  0.250  0.250  0.741
As  0.250  0.741  0.250
As  0.254  0.254  0.254
As  0.259  0.750  0.750
As  0.741  0.250  0.250
As  0.746  0.746  0.746
As  0.750  0.259  0.750
As  0.750  0.750  0.259

This record from Alexandria via LeMat-Bulk describes an optimized crystal structure of Ce2Cd3Pd. The functional is GGA-PBE.

Results
total energy	-3.666	eV per atom
symmetry	Pmm2

a = 3.300 Å, b = 4.987 Å, c = 8.616 Å
α = 90.00°, β = 90.00°, γ = 90.00°
Positions (direct):
Ce  0.000  0.000  0.000
Ce  0.000  0.500  0.458
Cd  0.500  0.000  0.637
Cd  0.500  0.500  0.142
Cd  0.500  0.500  0.805
Pd  0.500  0.000  0.305

This record from Alexandria via LeMat-Bulk describes an optimized crystal structure of TmMg3Hg2. The functional is GGA-PBE.

Results
energy above the lowest structure with this stoichiometry	0	meV/atom
symmetry	Pmc2_1

a = 4.260 Å, b = 8.724 Å, c = 7.522 Å
α = 90.00°, β = 90.00°, γ = 90.00°
Positions (direct):
Tm  0.000  0.077  0.000
Tm  0.000  0.923  0.500
Mg  0.000  0.312  0.609
Mg  0.000  0.688  0.109
Mg  0.500  0.194  0.330
Mg  0.500  0.412  0.933
Mg  0.500  0.588  0.433
Mg  0.500  0.806  0.830
Hg  0.000  0.387  0.225
Hg  0.000  0.613  0.725
Hg  0.500  0.119  0.712
Hg  0.500  0.881  0.212